A plane-wave DFT calculation with GGA-PBE was carried out for crystalline V5Ga2Si at its relaxed geometry.

abc: 7.0954 7.0954 7.0954
angles: 126.93 126.93 78.37
Fractional positions:
1 V 0.0000 0.0000 0.0000
2 V 0.0044 0.5044 0.8283
3 V 0.1761 0.0044 0.5000
4 V 0.3239 0.8239 0.8283
5 V 0.4956 0.3239 0.5000
6 V 0.5000 0.5000 0.0000
7 V 0.5044 0.6761 0.5000
8 V 0.6761 0.1761 0.1717
9 V 0.8239 0.9956 0.5000
10 V 0.9956 0.4956 0.1717
11 Ga 0.1360 0.3640 0.5000
12 Ga 0.3640 0.8640 0.2280
13 Ga 0.6360 0.1360 0.7720
14 Ga 0.8640 0.6360 0.5000
15 Si 0.2500 0.2500 0.0000
16 Si 0.7500 0.7500 0.0000

The raw formation energy comes out at -208 kJ/mol of formula units. The total magnetic moment is 0.00 μB per formula unit. As for the density of states at the Fermi level: 11.146 states/eV/cell.

=====

A plane-wave DFT calculation with GGA-PBE was carried out for crystalline VGa3Si at its relaxed geometry.

abc: 4.7682 4.7682 4.7682
angles: 90.00 90.00 90.00
Fractional positions:
1 V 0.0000 0.0000 0.0000
2 Ga 0.0000 0.0000 0.5000
3 Ga 0.0000 0.5000 0.0000
4 Ga 0.5000 0.0000 0.0000
5 Si 0.5000 0.5000 0.5000

The raw formation energy comes out at 342 kJ/mol of formula units. The total magnetic moment is 0.00 μB per formula unit. As for the density of states at the Fermi level: 2.244 states/eV/cell. The value obtained for the offset from the most stable computed form is 0.000 eV per formula unit.

=====

A plane-wave DFT calculation with GGA-PBE was carried out for crystalline V7Ga2Si2 at its relaxed geometry.

abc: 5.5718 5.5718 5.6430
angles: 90.00 90.00 105.42
Fractional positions:
1 V 0.0000 0.0000 0.0000
2 V 0.0000 0.5000 0.2910
3 V 0.0000 0.5000 0.7090
4 V 0.5000 0.0000 0.2910
5 V 0.5000 0.0000 0.7090
6 V 0.5000 0.5000 0.2623
7 V 0.5000 0.5000 0.7377
8 Ga 0.1757 0.1757 0.5000
9 Ga 0.8243 0.8243 0.5000
10 Si 0.2802 0.7198 0.0000
11 Si 0.7198 0.2802 0.0000

The raw formation energy comes out at 194 kJ/mol of formula units. The total magnetic moment is 0.01 μB per formula unit. As for the density of states at the Fermi level: 8.474 states/eV/cell.